CrHgIO2: optimized geometry, PBE with a Hubbard U.

Computed properties:
E above lowest polymorph: 0.10 eV/f.u.
VASP energy: -21.259 eV/cell
size of the total moment: 2.30 Bohr magnetons per cell

Cell lengths 3.9434, 3.9434, 6.8581 Å; angles 90.00, 90.00, 90.00 degrees
Positions (direct):
Cr 0.0000 0.0000 0.0000
Hg 0.0000 0.0000 0.5000
I 0.5000 0.5000 0.5000
O 0.0000 0.5000 0.0000
O 0.5000 0.0000 0.0000

=====

CrHgIO6: optimized geometry, PBE with a Hubbard U.

Computed properties:
VASP energy: -45.866 eV/cell
size of the total moment: 3.00 Bohr magnetons per cell

Cell lengths 5.2236, 5.2236, 5.0185 Å; angles 90.07, 90.07, 120.01 degrees
Positions (direct):
Cr 0.0000 0.0000 0.0000
Hg 0.6667 0.3333 0.5000
I 0.3334 0.6666 0.0000
O 0.0449 0.6980 0.7868
O 0.0458 0.3473 0.2132
O 0.3011 0.3464 0.7866
O 0.3020 0.9551 0.2132
O 0.6527 0.9542 0.7868
O 0.6536 0.6989 0.2134

=====

Question: Which of these has the lowest VASP energy?
Answer: CrHgIO6

=====

What did the first record say?
CrHgIO2: optimized geometry, PBE with a Hubbard U.

Computed properties:
E above lowest polymorph: 0.10 eV/f.u.
VASP energy: -21.259 eV/cell
size of the total moment: 2.30 Bohr magnetons per cell

Cell lengths 3.9434, 3.9434, 6.8581 Å; angles 90.00, 90.00, 90.00 degrees
Positions (direct):
Cr 0.0000 0.0000 0.0000
Hg 0.0000 0.0000 0.5000
I 0.5000 0.5000 0.5000
O 0.0000 0.5000 0.0000
O 0.5000 0.0000 0.0000